Entry 1:
VASP calculation (GGA-PBE) on crystalline CaLa8Sm5 at its relaxed geometry.

```
CaLa8Sm5
1.0
-7.156 1.454 -4.913
6.082 -4.471 -4.524
-2.697 -4.561 7.027
La Ca Sm
8 1 5
Direct
0.076 0.751 0.475
0.570 0.915 0.835
0.724 0.249 0.325
0.165 0.735 0.080
0.675 0.399 0.924
0.345 0.265 0.430
0.920 0.085 0.655
0.525 0.601 0.276
0.250 0.500 0.750
0.037 0.311 0.133
0.500 0.000 0.500
0.821 0.689 0.726
0.867 0.905 0.179
0.274 0.095 0.963
```

SG: I-4
ΔH_f (0 K): 300 kJ/mol of formula units

Entry 2:
VASP calculation (GGA-PBE) on crystalline LaWCl3 at its relaxed geometry.

```
LaWCl3
1.0
-0.746 -3.214 3.489
3.737 1.776 2.436
-2.921 3.094 2.225
W Cl La
1 3 1
Direct
0.000 0.000 0.000
0.000 0.500 0.000
0.000 0.000 0.500
0.500 0.000 0.000
0.500 0.500 0.500
```

SG: Pm-3m
formation energy without anion corrections: -0.17 eV/atom

| no. | final energy (eV/atom) | N(E_F) (states/eV/cell) |
| --- | --- | --- |
| 1 | -4.42 | 23.53 |
| 2 | -4.86 | 4.78 |